# 1
This record from Alexandria via LeMat-Bulk describes a relaxed structure of BaHg2Pd2. The functional is PBE-GGA.

Summary:
- ΔE to the lowest computed polymorph: 0.111 eV per atom
- V: 23.20 A^3/atom
- Final energy: -0.212 Ry per atom
- Formation energy from the elements: -309 meV per atom
- Symmetry: P4/mbm (127)

abc: 7.955 7.955 3.667
angles: 90.00 90.00 90.00
Fractional coordinates of all 10 atoms:
1 Hg 0.846 0.346 0.500
2 Hg 0.346 0.154 0.500
3 Hg 0.154 0.654 0.500
4 Hg 0.654 0.846 0.500
5 Pd 0.368 0.868 0.000
6 Pd 0.132 0.368 0.000
7 Pd 0.868 0.632 0.000
8 Pd 0.632 0.132 0.000
9 Ba 0.000 0.000 0.000
10 Ba 0.500 0.500 0.000



# 2
This record from Alexandria via LeMat-Bulk describes a relaxed structure of Ba2Hg9Pd3. The functional is PBE-GGA.

Summary:
- V: 24.93 A^3/atom
- Final energy: -0.140 Ry per atom
- Formation energy from the elements: -325 meV per atom
- Symmetry: C2/c (15)

abc: 8.661 8.661 11.910
angles: 90.15 110.44 121.08
Fractional coordinates of all 28 atoms:
1 Hg 0.781 0.474 0.426
2 Hg 0.219 0.526 0.574
3 Hg 0.465 0.814 0.448
4 Hg 0.452 0.645 0.926
5 Hg 0.326 0.294 0.246
6 Hg 0.879 0.859 0.571
7 Hg 0.453 0.921 0.746
8 Hg 0.548 0.355 0.074
9 Hg 0.889 0.139 0.750
10 Hg 0.866 0.017 0.052
11 Hg 0.674 0.706 0.754
12 Hg 0.535 0.186 0.552
13 Hg 0.547 0.079 0.254
14 Hg 0.111 0.861 0.250
15 Hg 0.121 0.141 0.429
16 Hg 0.134 0.983 0.948
17 Hg 0.212 0.692 0.071
18 Hg 0.788 0.308 0.929
19 Pd 0.846 0.173 0.500
20 Pd 0.500 0.000 0.000
21 Pd 0.826 0.654 0.000
22 Pd 0.154 0.827 0.500
23 Pd 0.500 0.500 0.500
24 Pd 0.174 0.346 0.000
25 Ba 0.660 0.749 0.247
26 Ba 0.340 0.251 0.753
27 Ba 0.001 0.413 0.253
28 Ba 0.999 0.587 0.747



# 3
This record from Alexandria via LeMat-Bulk describes a relaxed structure of Ba3Hg4Pd2. The functional is PBE-GGA.

Summary:
- V: 31.09 A^3/atom
- Final energy: -0.180 Ry per atom
- Formation energy from the elements: -526 meV per atom
- Symmetry: C2/m (12)

abc: 4.967 6.613 9.666
angles: 106.69 90.00 112.06
Fractional coordinates of all 9 atoms:
1 Ba 0.000 0.000 0.000
2 Ba 0.329 0.658 0.345
3 Ba 0.671 0.342 0.655
4 Pd 0.605 0.211 0.277
5 Pd 0.395 0.789 0.723
6 Hg 0.951 0.902 0.627
7 Hg 0.279 0.558 0.931
8 Hg 0.049 0.098 0.373
9 Hg 0.721 0.442 0.069



# 4
This record from Alexandria via LeMat-Bulk describes a relaxed structure of BaHg2Pd2. The functional is PBE-GGA.

Summary:
- ΔE to the lowest computed polymorph: 0.168 eV per atom
- V: 22.95 A^3/atom
- Final energy: -0.208 Ry per atom
- Formation energy from the elements: -252 meV per atom
- Symmetry: P4/mbm (127)

abc: 8.329 8.329 3.308
angles: 90.00 90.00 90.00
Fractional coordinates of all 10 atoms:
1 Hg 0.378 0.878 0.000
2 Hg 0.622 0.122 0.000
3 Hg 0.878 0.622 0.000
4 Hg 0.122 0.378 0.000
5 Ba 0.000 0.000 0.000
6 Ba 0.500 0.500 0.000
7 Pd 0.823 0.323 0.500
8 Pd 0.323 0.177 0.500
9 Pd 0.677 0.823 0.500
10 Pd 0.177 0.677 0.500



# 5
This record from Alexandria via LeMat-Bulk describes a relaxed structure of Ba8Hg2Pd. The functional is PBE-GGA.

Summary:
- ΔE to the lowest computed polymorph: 0.019 eV per atom
- V: 44.93 A^3/atom
- Final energy: -0.160 Ry per atom
- Formation energy from the elements: -255 meV per atom
- Symmetry: C2/m (12)

abc: 5.926 8.056 11.101
angles: 104.03 105.48 90.00
Fractional coordinates of all 11 atoms:
1 Hg 0.189 0.730 0.378
2 Hg 0.811 0.270 0.622
3 Ba 0.034 0.804 0.068
4 Ba 0.343 0.034 0.687
5 Ba 0.589 0.415 0.178
6 Ba 0.966 0.196 0.932
7 Ba 0.787 0.681 0.574
8 Ba 0.213 0.319 0.426
9 Ba 0.657 0.966 0.313
10 Ba 0.411 0.585 0.822
11 Pd 0.500 0.000 0.000



# 6
This record from Alexandria via LeMat-Bulk describes a relaxed structure of BaHg2Pd3. The functional is PBE-GGA.

Summary:
- ΔE to the lowest computed polymorph: 0.000 eV per atom
- V: 22.59 A^3/atom
- Final energy: -0.256 Ry per atom
- Formation energy from the elements: -468 meV per atom
- Symmetry: P6/mmm (191)

abc: 4.423 5.948 5.948
angles: 120.00 90.00 90.00
Fractional coordinates of all 6 atoms:
1 Pd 0.500 0.501 0.500
2 Pd 0.500 0.001 0.500
3 Pd 0.500 0.501 0.000
4 Hg 0.000 0.335 0.667
5 Hg 0.000 0.668 0.333
6 Ba 0.000 0.001 0.000



# 7
This record from Alexandria via LeMat-Bulk describes a relaxed structure of Ba6HgPd3. The functional is PBE-GGA.

Summary:
- V: 41.06 A^3/atom
- Final energy: -0.234 Ry per atom
- Formation energy from the elements: -441 meV per atom
- Symmetry: P2_1/m (11)

abc: 4.717 13.474 13.666
angles: 109.03 90.00 90.00
Fractional coordinates of all 20 atoms:
1 Ba 0.250 0.212 0.241
2 Ba 0.250 0.284 0.738
3 Ba 0.250 0.869 0.535
4 Ba 0.750 0.716 0.262
5 Ba 0.750 0.390 0.054
6 Ba 0.250 0.532 0.391
7 Ba 0.250 0.073 0.909
8 Ba 0.750 0.468 0.609
9 Ba 0.250 0.610 0.946
10 Ba 0.750 0.788 0.759
11 Ba 0.750 0.131 0.465
12 Ba 0.750 0.927 0.091
13 Pd 0.250 0.843 0.922
14 Pd 0.250 0.310 0.500
15 Pd 0.750 0.449 0.836
16 Pd 0.750 0.157 0.078
17 Pd 0.750 0.690 0.500
18 Pd 0.250 0.551 0.164
19 Hg 0.750 0.057 0.701
20 Hg 0.250 0.943 0.299



# 8
This record from Alexandria via LeMat-Bulk describes a relaxed structure of Ba11Hg9Pd4. The functional is PBE-GGA.

Summary:
- V: 34.06 A^3/atom
- Final energy: -0.174 Ry per atom
- Formation energy from the elements: -504 meV per atom
- Symmetry: Cmmm (65)

abc: 4.311 14.302 14.302
angles: 112.02 90.00 90.00
Fractional coordinates of all 24 atoms:
1 Ba 0.000 0.698 0.698
2 Ba 0.000 0.929 0.589
3 Ba 0.000 0.173 0.827
4 Ba 0.000 0.000 0.000
5 Ba 0.000 0.411 0.071
6 Ba 0.000 0.589 0.929
7 Ba 0.000 0.371 0.629
8 Ba 0.000 0.629 0.371
9 Ba 0.000 0.827 0.173
10 Ba 0.000 0.071 0.411
11 Ba 0.000 0.302 0.302
12 Hg 0.500 0.500 0.500
13 Hg 0.500 0.071 0.217
14 Hg 0.500 0.622 0.161
15 Hg 0.500 0.839 0.378
16 Hg 0.500 0.783 0.929
17 Hg 0.500 0.161 0.622
18 Hg 0.500 0.378 0.839
19 Hg 0.500 0.929 0.783
20 Hg 0.500 0.217 0.071
21 Pd 0.500 0.755 0.552
22 Pd 0.500 0.245 0.448
23 Pd 0.500 0.448 0.245
24 Pd 0.500 0.552 0.755



# 9
This record from Alexandria via LeMat-Bulk describes a relaxed structure of Ba2Hg5Pd12. The functional is PBE-GGA.

Summary:
- V: 19.99 A^3/atom
- Final energy: -0.279 Ry per atom
- Formation energy from the elements: -241 meV per atom
- Symmetry: R-3m (166)

abc: 7.292 7.292 7.292
angles: 83.03 83.03 83.03
Fractional coordinates of all 19 atoms:
1 Hg 0.901 0.901 0.901
2 Hg 0.000 0.500 0.000
3 Hg 0.500 0.000 0.000
4 Hg 0.099 0.099 0.099
5 Hg 0.000 0.000 0.500
6 Pd 0.346 0.846 0.346
7 Pd 0.846 0.346 0.346
8 Pd 0.000 0.701 0.299
9 Pd 0.000 0.299 0.701
10 Pd 0.701 0.299 0.000
11 Pd 0.346 0.346 0.846
12 Pd 0.154 0.654 0.654
13 Pd 0.701 0.000 0.299
14 Pd 0.299 0.701 0.000
15 Pd 0.654 0.154 0.654
16 Pd 0.299 0.000 0.701
17 Pd 0.654 0.654 0.154
18 Ba 0.648 0.648 0.648
19 Ba 0.352 0.352 0.352



# 10
This record from Alexandria via LeMat-Bulk describes a relaxed structure of Ba2Hg6Pd. The functional is PBE-GGA.

Summary:
- ΔE to the lowest computed polymorph: 0.000 eV per atom
- V: 28.85 A^3/atom
- Final energy: -0.117 Ry per atom
- Formation energy from the elements: -392 meV per atom
- Symmetry: C2/m (12)

abc: 7.547 6.883 10.076
angles: 90.00 82.80 90.00
Fractional coordinates of all 18 atoms:
1 Hg 0.794 0.253 0.024
2 Hg 0.206 0.253 0.976
3 Hg 0.706 0.753 0.476
4 Hg 0.456 0.500 0.726
5 Hg 0.706 0.247 0.476
6 Hg 0.956 0.000 0.226
7 Hg 0.294 0.753 0.524
8 Hg 0.206 0.747 0.976
9 Hg 0.794 0.747 0.024
10 Hg 0.294 0.247 0.524
11 Hg 0.544 0.500 0.274
12 Hg 0.044 0.000 0.774
13 Ba 0.060 0.500 0.279
14 Ba 0.940 0.500 0.721
15 Ba 0.560 0.000 0.779
16 Ba 0.440 0.000 0.221
17 Pd 0.500 0.500 0.000
18 Pd 0.000 0.000 0.500



# 11
This record from Alexandria via LeMat-Bulk describes a relaxed structure of BaHg2Pd3. The functional is PBE-GGA.

Summary:
- ΔE to the lowest computed polymorph: 0.126 eV per atom
- V: 23.20 A^3/atom
- Final energy: -0.247 Ry per atom
- Formation energy from the elements: -343 meV per atom
- Symmetry: P6_3/mmc (194)

abc: 4.698 4.698 14.568
angles: 90.00 90.00 120.00
Fractional coordinates of all 12 atoms:
1 Pd 0.000 0.000 0.500
2 Pd 0.667 0.333 0.605
3 Pd 0.333 0.667 0.395
4 Pd 0.000 0.000 0.000
5 Pd 0.333 0.667 0.105
6 Pd 0.667 0.333 0.895
7 Hg 0.333 0.667 0.914
8 Hg 0.333 0.667 0.586
9 Hg 0.667 0.333 0.414
10 Hg 0.667 0.333 0.086
11 Ba 0.000 0.000 0.750
12 Ba 0.000 0.000 0.250



# 12
This record from Alexandria via LeMat-Bulk describes a relaxed structure of Ba3Hg2Pd4. The functional is PBE-GGA.

Summary:
- V: 28.74 A^3/atom
- Final energy: -0.261 Ry per atom
- Formation energy from the elements: -528 meV per atom
- Symmetry: C2/m (12)

abc: 4.736 6.539 9.328
angles: 104.98 90.00 111.23
Fractional coordinates of all 9 atoms:
1 Pd 0.723 0.446 0.050
2 Pd 0.065 0.129 0.402
3 Pd 0.935 0.871 0.598
4 Pd 0.277 0.554 0.950
5 Ba 0.654 0.308 0.679
6 Ba 0.346 0.692 0.321
7 Ba 0.000 0.000 0.000
8 Hg 0.627 0.254 0.288
9 Hg 0.373 0.746 0.712